An optimized crystal structure of Na3CoSiCO7, computed with PBE+U.

Unit cell a=5.224 b=6.376 c=9.261 alpha=90.00 beta=90.61 gamma=90.00
Space group P2_1/m (No. 11)
Asymmetric unit:
Na 0.227 0.250 0.409
Na 0.263 0.002 0.756
Co 0.201 0.750 0.138
Si 0.314 0.250 0.076
C 0.266 0.750 0.443
O 0.063 0.750 0.360
O 0.156 0.250 0.923
O 0.235 0.750 0.582
O 0.249 0.044 0.179
O 0.374 0.750 0.952
O 0.493 0.750 0.389

Output
Calculated volume (Å³ per cell): 308.5
E (eV per atom): -6.327